(1)
P, optimized geometry, DFT PBE; ΔE to the lowest computed polymorph = 85.3 kJ/mol of formula units; DFT formation energy = 884.5 meV/atom; energy = -4.5254 eV per atom
1.0
2.3888 -0.2733 1.2988
1.4153 2.2180 0.7386
0.2045 0.6737 2.6406
P
1
Direct
0.0000 0.0000 0.0000 P


(2)
P, optimized geometry, DFT PBE; ΔE to the lowest computed polymorph = 6.6 kJ/mol of formula units; DFT formation energy = 68.0 meV/atom; energy = -5.3419 eV per atom
1.0
5.6205 -0.0176 0.0000
-1.5524 6.1451 0.0000
0.0000 0.0000 7.7169
P
10
Direct
0.1469 0.6904 0.2757 P
0.1696 0.3587 0.3539 P
0.1696 0.3587 0.6461 P
0.1469 0.6904 0.7243 P
0.2254 0.9158 0.5000 P
0.5449 0.3292 0.7227 P
0.7543 0.6607 0.6485 P
0.7543 0.6607 0.3515 P
0.5449 0.3292 0.2773 P
0.6137 0.1240 0.5000 P


(3)
P, optimized geometry, DFT PBE; ΔE to the lowest computed polymorph = 41.8 kJ/mol of formula units; DFT formation energy = 433.4 meV/atom; energy = -4.9765 eV per atom
1.0
9.6949 0.0000 0.0000
0.0000 9.6949 0.0000
0.0000 0.0000 9.6949
P
16
Direct
0.1184 0.1184 0.1184 P
0.1184 0.8816 0.8816 P
0.8816 0.1184 0.8816 P
0.8816 0.8816 0.1184 P
0.8816 0.8816 0.8816 P
0.8816 0.1184 0.1184 P
0.1184 0.8816 0.1184 P
0.1184 0.1184 0.8816 P
0.6184 0.6184 0.6184 P
0.6184 0.3816 0.3816 P
0.3816 0.6184 0.3816 P
0.3816 0.3816 0.6184 P
0.3816 0.3816 0.3816 P
0.3816 0.6184 0.6184 P
0.6184 0.3816 0.6184 P
0.6184 0.6184 0.3816 P


> Look up the energy of the third one.

-4.9765 eV per atom


> Which formula does entry 2 have?

P